VASP calculation (PBE-GGA) on an optimized crystal structure of ZrOs2Se.

Structure (CIF):
```
data_ZrOs2Se
_chemical_formula_sum 'Zr1 Os2 Se1'
_cell_length_a 4.4768
_cell_length_b 4.4768
_cell_length_c 3.3391
_cell_angle_alpha 90.00
_cell_angle_beta 90.00
_cell_angle_gamma 90.00
_symmetry_space_group_name_H-M 'P 4/m m m'
_symmetry_Int_Tables_number 123
_symmetry_space_group_name_Hall '-P 4 2'
loop_
_atom_site_label
_atom_site_fract_x
_atom_site_fract_y
_atom_site_fract_z
Zr1 0.0000 0.0000 0.0000
Os1 0.0000 0.5000 0.5000
Se1 0.5000 0.5000 0.0000
```

Summary:
uncorrected formation energy	21	kJ per mole of atoms
volume	67	Å³/cell
total magnetization	0.00	μB/f.u.
mass density	13.66	Mg/m³
total energy	-33.6	eV for the cell shown
density of states at the Fermi level	1.62	states/eV/cell


VASP calculation (PBE-GGA) on an optimized crystal structure of IrPtRh14.

Structure (CIF):
```
data_IrPtRh14
_chemical_formula_sum 'Ir2 Pt2 Rh28'
_cell_length_a 8.9178
_cell_length_b 5.4426
_cell_length_c 9.4325
_cell_angle_alpha 90.00
_cell_angle_beta 90.00
_cell_angle_gamma 90.00
_symmetry_space_group_name_H-M 'A m m 2'
_symmetry_Int_Tables_number 38
loop_
_symmetry_equiv_pos_as_xyz
'x,y,z'
'-x,-y,z'
'-x,y,z'
'x,-y,z'
'x,y+1/2,z+1/2'
'-x,-y+1/2,z+1/2'
'-x,y+1/2,z+1/2'
'x,-y+1/2,z+1/2'
loop_
_atom_site_label
_atom_site_fract_x
_atom_site_fract_y
_atom_site_fract_z
Ir1 0.0000 0.0000 0.0000
Pt1 0.0000 0.0000 0.5001
Rh1 0.0000 0.2499 0.2500
Rh2 0.2495 0.0000 0.1661
Rh3 0.2514 0.2480 0.9165
Rh4 0.2535 0.0000 0.6675
Rh5 0.5000 0.0000 0.3332
Rh6 0.5000 0.0000 0.8333
Rh7 0.5000 0.2497 0.0833
```

Summary:
volume	458	Å³/cell
total magnetization	0.00	μB/f.u.
mass density	13.26	Mg/m³
ΔE_f	0.02	eV/atom
total energy	-235.1	eV for the cell shown
density of states at the Fermi level	48.19	states/eV/cell


VASP calculation (PBE-GGA) on an optimized crystal structure of Pm2ScGa4Cu3.

Structure (CIF):
```
data_Pm2ScGa4Cu3
_chemical_formula_sum 'Pm2 Sc1 Ga4 Cu3'
_cell_length_a 4.1546
_cell_length_b 4.1546
_cell_length_c 11.1411
_cell_angle_alpha 90.00
_cell_angle_beta 90.00
_cell_angle_gamma 90.00
_symmetry_space_group_name_H-M 'P -4 m 2'
_symmetry_Int_Tables_number 115
loop_
_symmetry_equiv_pos_as_xyz
'x,y,z'
'y,-x,-z'
'-x,-y,z'
'-y,x,-z'
'-x,y,z'
'-y,-x,-z'
'x,-y,z'
'y,x,-z'
loop_
_atom_site_label
_atom_site_fract_x
_atom_site_fract_y
_atom_site_fract_z
Pm1 0.0000 0.5000 0.2320
Sc1 0.0000 0.0000 0.5000
Ga1 0.0000 0.0000 0.0000
Ga2 0.0000 0.5000 0.6590
Ga3 0.5000 0.5000 0.0000
Cu1 0.0000 0.5000 0.8759
Cu2 0.5000 0.5000 0.5000
```

Summary:
volume	192	Å³/cell
total magnetization	0.00	μB/f.u.
mass density	6.95	Mg/m³
ΔE_f	-0.45	eV/atom
total energy	-44.7	eV for the cell shown
density of states at the Fermi level	7.02	states/eV/cell


VASP calculation (PBE-GGA) on an optimized crystal structure of K4Hf3Te17.

Structure (CIF):
```
data_K4Hf3Te17
_chemical_formula_sum 'K16 Hf12 Te68'
_cell_length_a 10.3716
_cell_length_b 31.3778
_cell_length_c 11.9403
_cell_angle_alpha 90.00
_cell_angle_beta 115.90
_cell_angle_gamma 90.00
_symmetry_space_group_name_H-M 'P 1 21/c 1'
_symmetry_Int_Tables_number 14
loop_
_symmetry_equiv_pos_as_xyz
'x,y,z'
'-x,-y,-z'
'-x,y+1/2,-z+1/2'
'x,-y+1/2,z+1/2'
loop_
_atom_site_label
_atom_site_fract_x
_atom_site_fract_y
_atom_site_fract_z
K1 0.1990 0.2247 0.4417
K2 0.2410 0.5187 0.5406
K3 0.2620 0.7063 0.5366
K4 0.2738 0.0633 0.5202
Hf1 0.0514 0.6189 0.8338
Hf2 0.2843 0.1189 0.9954
Hf3 0.3833 0.6204 0.1744
Te1 0.0261 0.6068 0.5762
Te2 0.0993 0.7083 0.7891
Te3 0.1001 0.5285 0.7858
Te4 0.1160 0.5628 0.0475
Te5 0.1222 0.6776 0.0458
Te6 0.1231 0.1763 0.0872
Te7 0.1292 0.6194 0.2408
Te8 0.1923 0.1776 0.7731
Te9 0.1968 0.0563 0.7853
Te10 0.2966 0.1012 0.2418
Te11 0.3704 0.6162 0.9160
Te12 0.4350 0.6995 0.8686
Te13 0.4772 0.5576 0.3888
Te14 0.4851 0.1050 0.8811
Te15 0.4889 0.6826 0.3832
Te16 0.4903 0.2065 0.3405
Te17 0.4968 0.5323 0.1515
```

Summary:
uncorrected formation energy	-62	kJ per mole of atoms
volume	3495	Å³/cell
total magnetization	0.00	μB/f.u.
mass density	5.44	Mg/m³
total energy	-412.3	eV for the cell shown


VASP calculation (PBE-GGA) on an optimized crystal structure of ErTm4Sc6.

Structure (CIF):
```
data_ErTm4Sc6
_chemical_formula_sum 'Er2 Tm8 Sc12'
_cell_length_a 6.2511
_cell_length_b 6.2511
_cell_length_c 15.8779
_cell_angle_alpha 90.00
_cell_angle_beta 90.00
_cell_angle_gamma 90.00
_symmetry_space_group_name_H-M 'I -4 2 m'
_symmetry_Int_Tables_number 121
_symmetry_space_group_name_Hall 'I -4 2'
loop_
_atom_site_label
_atom_site_fract_x
_atom_site_fract_y
_atom_site_fract_z
Er1 0.0000 0.0000 0.0000
Tm1 0.1896 0.1896 0.1788
Sc1 0.0000 0.5000 0.0000
Sc2 0.1735 0.1735 0.3813
```

Summary:
volume	620	Å³/cell
total magnetization	0.00	μB/f.u.
mass density	5.96	Mg/m³
ΔE_f	0.30	eV/atom
total energy	-114.4	eV for the cell shown
density of states at the Fermi level	27.62	states/eV/cell


VASP calculation (PBE-GGA) on an optimized crystal structure of Mn2NiN2.

Structure (CIF):
```
data_Mn2NiN2
_chemical_formula_sum 'Mn4 Ni2 N4'
_cell_length_a 5.7038
_cell_length_b 5.7038
_cell_length_c 2.8223
_cell_angle_alpha 90.00
_cell_angle_beta 90.00
_cell_angle_gamma 90.00
_symmetry_space_group_name_H-M 'P 4/m b m'
_symmetry_Int_Tables_number 127
_symmetry_space_group_name_Hall '-P 4 2ab'
loop_
_atom_site_label
_atom_site_fract_x
_atom_site_fract_y
_atom_site_fract_z
Mn1 0.1601 0.3399 0.0000
Ni1 0.0000 0.0000 0.5000
N1 0.1667 0.6667 0.5000
```

Summary:
uncorrected formation energy	19	kJ per mole of atoms
volume	92	Å³/cell
total magnetization	5.98	μB/f.u.
mass density	7.11	Mg/m³
total energy	-79.6	eV for the cell shown
density of states at the Fermi level	6.18	states/eV/cell


VASP calculation (PBE-GGA) on an optimized crystal structure of Mn2Ni9As.

Structure (CIF):
```
data_Mn2Ni9As
_chemical_formula_sum 'Mn2 Ni9 As1'
_cell_length_a 3.5796
_cell_length_b 3.5796
_cell_length_c 10.7053
_cell_angle_alpha 90.00
_cell_angle_beta 90.00
_cell_angle_gamma 90.00
_symmetry_space_group_name_H-M 'P 4/m m m'
_symmetry_Int_Tables_number 123
_symmetry_space_group_name_Hall '-P 4 2'
loop_
_atom_site_label
_atom_site_fract_x
_atom_site_fract_y
_atom_site_fract_z
Mn1 0.0000 0.0000 0.1647
Ni1 0.0000 0.5000 0.0000
Ni2 0.0000 0.5000 0.3327
Ni3 0.5000 0.5000 0.1674
Ni4 0.5000 0.5000 0.5000
As1 0.0000 0.0000 0.5000
```

Summary:
volume	137	Å³/cell
total magnetization	10.56	μB/f.u.
mass density	8.63	Mg/m³
ΔE_f	-0.13	eV/atom
total energy	-76.6	eV for the cell shown
density of states at the Fermi level	11.66	states/eV/cell


VASP calculation (PBE-GGA) on an optimized crystal structure of Ac4GeCI2.

Structure (CIF):
```
data_Ac4GeCI2
_chemical_formula_sum 'Ac4 Ge1 C1 I2'
_cell_length_a 7.6045
_cell_length_b 4.3452
_cell_length_c 8.6978
_cell_angle_alpha 90.00
_cell_angle_beta 106.84
_cell_angle_gamma 90.00
_symmetry_space_group_name_H-M 'P 1 2/m 1'
_symmetry_Int_Tables_number 10
loop_
_symmetry_equiv_pos_as_xyz
'x,y,z'
'-x,-y,-z'
'-x,y,-z'
'x,-y,z'
loop_
_atom_site_label
_atom_site_fract_x
_atom_site_fract_y
_atom_site_fract_z
Ac1 0.2046 0.0000 0.1811
Ac2 0.2391 0.5000 0.8102
Ge1 0.5000 0.0000 0.0000
C1 0.0000 0.5000 0.0000
I1 0.0000 0.0000 0.5000
I2 0.5000 0.5000 0.5000
```

Summary:
uncorrected formation energy	-72	kJ per mole of atoms
volume	275	Å³/cell
total magnetization	0.00	μB/f.u.
mass density	7.52	Mg/m³
total energy	-39.4	eV for the cell shown
density of states at the Fermi level	4.17	states/eV/cell


VASP calculation (PBE-GGA) on an optimized crystal structure of Dy4Bi2SeN2.

Structure (CIF):
```
data_Dy4Bi2SeN2
_chemical_formula_sum 'Dy8 Bi4 Se2 N4'
_cell_length_a 15.4756
_cell_length_b 3.8356
_cell_length_c 7.9315
_cell_angle_alpha 90.00
_cell_angle_beta 107.74
_cell_angle_gamma 90.00
_symmetry_space_group_name_H-M 'C 1 2/m 1'
_symmetry_Int_Tables_number 12
loop_
_symmetry_equiv_pos_as_xyz
'x,y,z'
'-x,-y,-z'
'-x,y,-z'
'x,-y,z'
'x+1/2,y+1/2,z'
'-x+1/2,-y+1/2,-z'
'-x+1/2,y+1/2,-z'
'x+1/2,-y+1/2,z'
loop_
_atom_site_label
_atom_site_fract_x
_atom_site_fract_y
_atom_site_fract_z
Dy1 0.0456 0.0000 0.2771
Dy2 0.2078 0.5000 0.6333
Bi1 0.1343 0.5000 0.0135
Se1 0.0000 0.5000 0.5000
N1 0.1743 0.0000 0.4743
```

Summary:
uncorrected formation energy	-124	kJ per mole of atoms
volume	448	Å³/cell
total magnetization	0.00	μB/f.u.
mass density	8.70	Mg/m³
total energy	-115.8	eV for the cell shown
density of states at the Fermi level	6.07	states/eV/cell


VASP calculation (PBE-GGA) on an optimized crystal structure of ReTeP2.

Structure (CIF):
```
data_ReTeP2
_chemical_formula_sum 'Re1 Te1 P2'
_cell_length_a 2.9881
_cell_length_b 2.9881
_cell_length_c 8.7937
_cell_angle_alpha 90.00
_cell_angle_beta 90.00
_cell_angle_gamma 90.00
_symmetry_space_group_name_H-M 'P 4/m m m'
_symmetry_Int_Tables_number 123
_symmetry_space_group_name_Hall '-P 4 2'
loop_
_atom_site_label
_atom_site_fract_x
_atom_site_fract_y
_atom_site_fract_z
Re1 0.0000 0.0000 0.0000
Te1 0.0000 0.0000 0.5000
P1 0.5000 0.5000 0.1587
```

Summary:
uncorrected formation energy	9	kJ per mole of atoms
volume	79	Å³/cell
total magnetization	0.00	μB/f.u.
mass density	7.95	Mg/m³
total energy	-26.0	eV for the cell shown
density of states at the Fermi level	2.08	states/eV/cell


VASP calculation (PBE-GGA) on an optimized crystal structure of K3AcTh2Te6.

Structure (CIF):
```
data_K3AcTh2Te6
_chemical_formula_sum 'K6 Ac2 Th4 Te12'
_cell_length_a 7.9546
_cell_length_b 13.7809
_cell_length_c 8.8249
_cell_angle_alpha 90.00
_cell_angle_beta 107.55
_cell_angle_gamma 90.00
_symmetry_space_group_name_H-M 'C 1 2/m 1'
_symmetry_Int_Tables_number 12
loop_
_symmetry_equiv_pos_as_xyz
'x,y,z'
'-x,-y,-z'
'-x,y,-z'
'x,-y,z'
'x+1/2,y+1/2,z'
'-x+1/2,-y+1/2,-z'
'-x+1/2,y+1/2,-z'
'x+1/2,-y+1/2,z'
loop_
_atom_site_label
_atom_site_fract_x
_atom_site_fract_y
_atom_site_fract_z
K1 0.0000 0.0000 0.0000
K2 0.0000 0.3378 0.0000
Ac1 0.0000 0.5000 0.5000
Th1 0.0000 0.1673 0.5000
Te1 0.2252 0.0000 0.7207
Te2 0.2486 0.3259 0.7220
```

Summary:
uncorrected formation energy	-122	kJ per mole of atoms
volume	922	Å³/cell
total magnetization	0.00	μB/f.u.
mass density	5.67	Mg/m³
total energy	-112.5	eV for the cell shown
density of states at the Fermi level	14.58	states/eV/cell


VASP calculation (PBE-GGA) on an optimized crystal structure of SrLi2Bi2.

Structure (CIF):
```
data_SrLi2Bi2
_chemical_formula_sum 'Sr2 Li4 Bi4'
_cell_length_a 8.7278
_cell_length_b 8.7278
_cell_length_c 3.4620
_cell_angle_alpha 90.00
_cell_angle_beta 90.00
_cell_angle_gamma 90.00
_symmetry_space_group_name_H-M 'P 4/m b m'
_symmetry_Int_Tables_number 127
_symmetry_space_group_name_Hall '-P 4 2ab'
loop_
_atom_site_label
_atom_site_fract_x
_atom_site_fract_y
_atom_site_fract_z
Sr1 0.0000 0.0000 0.0000
Li1 0.1132 0.3868 0.0000
Bi1 0.1788 0.6788 0.5000
```

Summary:
volume	264	Å³/cell
total magnetization	0.00	μB/f.u.
mass density	6.54	Mg/m³
ΔE_f	-0.56	eV/atom
total energy	-32.1	eV for the cell shown
density of states at the Fermi level	3.17	states/eV/cell


Please write out number 5 again, unchanged.
VASP calculation (PBE-GGA) on an optimized crystal structure of ErTm4Sc6.

Structure (CIF):
```
data_ErTm4Sc6
_chemical_formula_sum 'Er2 Tm8 Sc12'
_cell_length_a 6.2511
_cell_length_b 6.2511
_cell_length_c 15.8779
_cell_angle_alpha 90.00
_cell_angle_beta 90.00
_cell_angle_gamma 90.00
_symmetry_space_group_name_H-M 'I -4 2 m'
_symmetry_Int_Tables_number 121
_symmetry_space_group_name_Hall 'I -4 2'
loop_
_atom_site_label
_atom_site_fract_x
_atom_site_fract_y
_atom_site_fract_z
Er1 0.0000 0.0000 0.0000
Tm1 0.1896 0.1896 0.1788
Sc1 0.0000 0.5000 0.0000
Sc2 0.1735 0.1735 0.3813
```

Summary:
volume	620	Å³/cell
total magnetization	0.00	μB/f.u.
mass density	5.96	Mg/m³
ΔE_f	0.30	eV/atom
total energy	-114.4	eV for the cell shown
density of states at the Fermi level	27.62	states/eV/cell